Record 1
First-principles (GGA-PBE) data for crystalline V2CrGaH at its relaxed geometry, as listed in Alexandria via LeMat-Bulk.

Unit cell a=3.8322 b=3.8322 c=3.7127 alpha=90.00 beta=90.00 gamma=90.00
Fractional positions:
Cr 0.0000 0.0000 0.5000
H 0.0000 0.0000 0.0000
Ga 0.5000 0.5000 0.5000
V 0.0000 0.5000 0.0000
V 0.5000 0.0000 0.0000

DOS at the Fermi energy	3.05	states/eV per cell
magnetic moment	0.02	μB/f.u.
E_tot	-6.982	eV per atom

---

Record 2
First-principles (GGA-PBE) data for crystalline VCr2GaH at its relaxed geometry, as listed in Alexandria via LeMat-Bulk.

Unit cell a=3.7695 b=3.7695 c=3.7272 alpha=90.00 beta=90.00 gamma=90.00
Each line ends with the local moment (μB).
Fractional positions:
Cr 0.0000 0.5000 0.0000  0.51
Cr 0.5000 0.0000 0.0000  0.51
H 0.0000 0.0000 0.0000  0.00
Ga 0.5000 0.5000 0.5000  -0.02
V 0.0000 0.0000 0.5000  -0.31

DOS at the Fermi energy	4.31	states/eV per cell
magnetic moment	0.71	μB/f.u.
E_tot	-6.985	eV per atom

---

Copy entry 2 word for word.
First-principles (GGA-PBE) data for crystalline VCr2GaH at its relaxed geometry, as listed in Alexandria via LeMat-Bulk.

Unit cell a=3.7695 b=3.7695 c=3.7272 alpha=90.00 beta=90.00 gamma=90.00
Each line ends with the local moment (μB).
Fractional positions:
Cr 0.0000 0.5000 0.0000  0.51
Cr 0.5000 0.0000 0.0000  0.51
H 0.0000 0.0000 0.0000  0.00
Ga 0.5000 0.5000 0.5000  -0.02
V 0.0000 0.0000 0.5000  -0.31

DOS at the Fermi energy	4.31	states/eV per cell
magnetic moment	0.71	μB/f.u.
E_tot	-6.985	eV per atom

---

> E_tot of number 1 (V2CrGaH)?

-6.982 eV per atom

---

> Among the records above, which one has the lowest magnetic moment?

V2CrGaH